# Zr4SnHg3

Zr4SnHg3 after structural relaxation (PBE, Alexandria).

Lattice parameters (Å, degrees): 4.293 4.513 8.984 90.00 90.00 90.00
Atoms (fractional coordinates):
Zr1 0.000 0.500 0.248
Zr2 0.000 0.000 0.500
Zr3 0.000 0.500 0.752
Zr4 0.000 0.000 0.000
Hg1 0.500 0.000 0.745
Hg2 0.500 0.000 0.255
Hg3 0.500 0.500 0.500
Sn1 0.500 0.500 0.000

Values from the calculation:
- DOS(E_F) (states/eV per cell) = 6.6
- formation energy from the elements (eV/atom) = -0.260
- total magnetization (μB/atom) = 0.000


# Li2ZrPb2

Li2ZrPb2 after structural relaxation (PBE, Alexandria).

Lattice parameters (Å, degrees): 8.068 8.068 3.193 90.00 90.00 90.00
Atoms (fractional coordinates):
Li1 0.614 0.114 0.000
Li2 0.114 0.386 0.000
Li3 0.386 0.886 0.000
Li4 0.886 0.614 0.000
Zr1 0.000 0.000 0.000
Zr2 0.500 0.500 0.000
Pb1 0.318 0.182 0.500
Pb2 0.682 0.818 0.500
Pb3 0.818 0.318 0.500
Pb4 0.182 0.682 0.500

Values from the calculation:
- DOS(E_F) (states/eV per cell) = 3.8
- formation energy from the elements (eV/atom) = -0.157
- total magnetization (μB/atom) = 0.000


# MgZnAu3

MgZnAu3 after structural relaxation (PBE, Alexandria).

Lattice parameters (Å, degrees): 4.958 4.958 4.958 90.00 90.00 90.00
Atoms (fractional coordinates):
Au1 0.000 0.000 0.500
Au2 0.000 0.500 0.000
Au3 0.500 0.000 0.000
Mg1 0.000 0.000 0.000
Zn1 0.500 0.500 0.500

Values from the calculation:
- DOS(E_F) (states/eV per cell) = 2.3
- formation energy from the elements (eV/atom) = 0.487
- total magnetization (μB/atom) = 0.000


# Sr3CaV

Sr3CaV after structural relaxation (PBE, Alexandria).

Lattice parameters (Å, degrees): 6.566 6.566 6.566 90.00 90.00 90.00
Atoms (fractional coordinates):
Sr1 0.000 0.000 0.500
Sr2 0.500 0.000 0.000
Sr3 0.000 0.500 0.000
Ca1 0.000 0.000 0.000
V1 0.500 0.500 0.500

Values from the calculation:
- DOS(E_F) (states/eV per cell) = 10.7
- formation energy from the elements (eV/atom) = 1.312
- total magnetization (μB/atom) = 1.212


# YAg2Te2

YAg2Te2 after structural relaxation (PBE, Alexandria).

Lattice parameters (Å, degrees): 4.002 4.002 8.393 76.21 76.21 90.00
Atoms (fractional coordinates):
Te1 0.395 0.395 0.211
Te2 0.605 0.605 0.789
Ag1 0.750 0.250 0.500
Ag2 0.250 0.750 0.500
Y1 0.000 0.000 0.000

Values from the calculation:
- DOS(E_F) (states/eV per cell) = 2.9
- ΔE_f (raw) (eV per formula unit) = -2.45
- total magnetization (μB/atom) = 0.000